# 1
Compound: DyCuGe2
Source: the Alexandria database
Functional: PBE-GGA
Structure: relaxed

## Properties
theoretical density = 8.220 Mg/m³
D(E_F) = 2.876 states/eV/cell
total moment = 0.000 μB per formula unit
ΔH_f (0 K) = -0.410 eV/atom

Structure (CIF):
```
data_DyCuGe2
_chemical_formula_sum 'Dy3 Cu3 Ge6'
_symmetry_space_group_name_H-M 'R -3 m'
_symmetry_Int_Tables_number 166
_symmetry_space_group_name_Hall '-R 3 2"'
_cell_length_a 4.1343
_cell_length_b 4.1343
_cell_length_c 15.2015
_cell_angle_alpha 90.00
_cell_angle_beta 90.00
_cell_angle_gamma 120.00
loop_
_atom_site_label
_atom_site_type_symbol
_atom_site_fract_x
_atom_site_fract_y
_atom_site_fract_z
_atom_site_occupancy
Dy1 Dy 0.0000 0.0000 0.0000 1
Cu1 Cu 0.0000 0.0000 0.5000 1
Ge1 Ge 0.0000 0.0000 0.2212 1
```

# 2
Compound: LiSmSiRh
Source: the Alexandria database
Functional: PBE-GGA
Structure: relaxed

## Properties
theoretical density = 6.990 Mg/m³
formation energy (no corrections) = -0.55 eV per atom
D(E_F) = 19.709 states/eV/cell
total moment = 0.000 μB per formula unit

Structure (CIF):
```
data_LiSmSiRh
_chemical_formula_sum 'Li4 Sm4 Si4 Rh4'
_symmetry_space_group_name_H-M 'F -4 3 m'
_symmetry_Int_Tables_number 216
_symmetry_space_group_name_Hall 'F -4 2 3'
_cell_length_a 6.4946
_cell_length_b 6.4946
_cell_length_c 6.4946
_cell_angle_alpha 90.00
_cell_angle_beta 90.00
_cell_angle_gamma 90.00
loop_
_atom_site_label
_atom_site_type_symbol
_atom_site_fract_x
_atom_site_fract_y
_atom_site_fract_z
_atom_site_occupancy
Li1 Li 0.0000 0.0000 0.0000 1
Sm1 Sm 0.2500 0.2500 0.2500 1
Si1 Si 0.2500 0.2500 0.7500 1
Rh1 Rh 0.0000 0.0000 0.5000 1
```